No. 1
{
  "formula": "In2C3",
  "functional": "GGA-PBE",
  "state": "optimized geometry",
  "de_polymorph_mev_per_atom": 613.2,
  "e_form_ev_per_fu": 7.40,
  "total_energy_ev_per_fu": -25.75,
  "dos_at_fermi_per_ev_atom": 0.600,
  "lattice_angstrom": [[1.381, 0.797, 11.790], [-1.381, 0.797, 11.790], [0.000, -1.594, 11.790]],
  "species": ["In", "In", "C", "C", "C"],
  "frac_coords": [[0.113, 0.113, 0.113], [0.887, 0.887, 0.887], [0.333, 0.333, 0.333], [0.500, 0.500, 0.500], [0.667, 0.667, 0.667]]
}


No. 2
{
  "formula": "InC2",
  "functional": "GGA-PBE",
  "state": "optimized geometry",
  "de_polymorph_mev_per_atom": 20.3,
  "e_form_ev_per_fu": 2.07,
  "total_energy_ev_per_fu": -19.11,
  "dos_at_fermi_per_ev_atom": 0.303,
  "lattice_angstrom": [[2.642, 0.000, 0.000], [-1.321, 2.288, 0.000], [0.000, 0.000, 17.605]],
  "species": ["In", "In", "C", "C", "C", "C"],
  "frac_coords": [[0.333, 0.667, 0.250], [0.667, 0.333, 0.750], [0.333, 0.667, 0.000], [0.333, 0.667, 0.500], [0.667, 0.333, 0.000], [0.667, 0.333, 0.500]]
}


No. 3
{
  "formula": "In2C3",
  "functional": "GGA-PBE",
  "state": "optimized geometry",
  "de_polymorph_mev_per_atom": 1379.7,
  "e_form_ev_per_fu": 11.23,
  "total_energy_ev_per_fu": -21.92,
  "dos_at_fermi_per_ev_atom": 0.312,
  "lattice_angstrom": [[3.906, 0.000, 0.000], [-1.953, 3.382, 0.000], [0.000, 0.000, 5.389]],
  "species": ["In", "In", "C", "C", "C"],
  "frac_coords": [[0.333, 0.667, 0.245], [0.667, 0.333, 0.755], [0.000, 0.000, 0.500], [0.333, 0.667, 0.784], [0.667, 0.333, 0.216]]
}


No. 4
{
  "formula": "InC",
  "functional": "GGA-PBE",
  "state": "optimized geometry",
  "de_polymorph_mev_per_atom": 225.8,
  "e_form_ev_per_fu": 1.87,
  "total_energy_ev_per_fu": -10.09,
  "dos_at_fermi_per_ev_atom": 0.226,
  "lattice_angstrom": [[3.165, -1.828, 0.000], [3.165, 1.828, 0.000], [-0.014, 0.000, 9.455]],
  "species": ["In", "In", "In", "C", "C", "C"],
  "frac_coords": [[0.000, 0.000, 0.000], [0.001, 0.001, 0.685], [0.335, 0.335, 0.387], [0.335, 0.335, 0.618], [0.667, 0.667, 0.127], [0.668, 0.668, 0.267]]
}


No. 5
{
  "formula": "InC7",
  "functional": "GGA-PBE",
  "state": "optimized geometry",
  "e_form_ev_per_fu": 32.85,
  "total_energy_ev_per_fu": -34.45,
  "dos_at_fermi_per_ev_atom": 0.477,
  "lattice_angstrom": [[0.000, 3.373, 3.373], [3.373, 0.000, 3.373], [3.373, 3.373, 0.000]],
  "species": ["In", "C", "C", "C", "C", "C", "C", "C"],
  "frac_coords": [[0.000, 0.000, 0.000], [0.000, 0.000, 0.500], [0.000, 0.500, 0.000], [0.000, 0.500, 0.500], [0.500, 0.000, 0.000], [0.500, 0.000, 0.500], [0.500, 0.500, 0.000], [0.500, 0.500, 0.500]]
}


No. 6
{
  "formula": "InC2",
  "functional": "GGA-PBE",
  "state": "optimized geometry",
  "de_polymorph_mev_per_atom": 534.8,
  "e_form_ev_per_fu": 3.62,
  "total_energy_ev_per_fu": -17.57,
  "dos_at_fermi_per_ev_atom": 0.247,
  "lattice_angstrom": [[1.795, 1.036, 8.798], [-1.795, 1.036, 8.798], [0.000, -2.073, 8.798]],
  "species": ["In", "In", "C", "C", "C", "C"],
  "frac_coords": [[0.000, 0.000, 0.000], [0.447, 0.447, 0.447], [0.365, 0.365, 0.365], [0.818, 0.818, 0.818], [0.869, 0.869, 0.869], [0.917, 0.917, 0.917]]
}


No. 7
{
  "formula": "In5C",
  "functional": "GGA-PBE",
  "state": "optimized geometry",
  "de_polymorph_mev_per_atom": 679.0,
  "e_form_ev_per_fu": 7.24,
  "total_energy_ev_per_fu": -15.68,
  "dos_at_fermi_per_ev_atom": 0.704,
  "lattice_angstrom": [[5.865, 0.000, 0.000], [-2.933, 5.079, 0.000], [0.000, 0.000, 5.803]],
  "species": ["In", "In", "In", "In", "In", "C"],
  "frac_coords": [[0.000, 0.500, 0.000], [0.333, 0.667, 0.500], [0.500, 0.000, 0.000], [0.500, 0.500, 0.000], [0.667, 0.333, 0.500], [0.000, 0.000, 0.500]]
}


No. 8
{
  "formula": "InC2",
  "functional": "GGA-PBE",
  "state": "optimized geometry",
  "de_polymorph_mev_per_atom": 2028.0,
  "e_form_ev_per_fu": 8.10,
  "total_energy_ev_per_fu": -13.09,
  "dos_at_fermi_per_ev_atom": 0.455,
  "lattice_angstrom": [[0.000, 2.745, 2.745], [2.745, 0.000, 2.745], [2.745, 2.745, 0.000]],
  "species": ["In", "C", "C"],
  "frac_coords": [[0.000, 0.000, 0.000], [0.250, 0.250, 0.250], [0.750, 0.750, 0.750]]
}